1.
Tb2Pr2Rh3: relaxed, PBE.

Lattice parameters (Å, degrees): 7.6030 7.6030 7.6030 109.47 109.47 109.47
Positions (direct):
Tb1 0.0000 0.8869 0.5000
Tb2 0.5000 0.0000 0.8869
Tb3 0.6131 0.6131 0.6131
Tb4 0.8869 0.5000 0.0000
Pr1 0.0000 0.3743 0.5000
Pr2 0.1257 0.1257 0.1257
Pr3 0.3743 0.5000 0.0000
Pr4 0.5000 0.0000 0.3743
Rh1 0.0921 0.7500 0.8421
Rh2 0.2500 0.6579 0.4079
Rh3 0.4079 0.2500 0.6579
Rh4 0.6579 0.4079 0.2500
Rh5 0.7500 0.8421 0.0921
Rh6 0.8421 0.0921 0.7500

Properties
For the energy above the most stable polymorph in this dataset, the calculation gives 0.000 eV per atom.



2.
Tb5Pr2Rh4: relaxed, PBE.

Lattice parameters (Å, degrees): 8.6176 8.6176 8.4214 93.00 93.00 26.86
Positions (direct):
Tb1 0.0000 0.0000 0.0000
Tb2 0.3013 0.3013 0.3454
Tb3 0.3276 0.3276 0.9220
Tb4 0.6724 0.6724 0.0780
Tb5 0.6987 0.6987 0.6546
Pr1 0.0752 0.0752 0.3930
Pr2 0.9248 0.9248 0.6070
Rh1 0.1517 0.1517 0.8431
Rh2 0.4744 0.4744 0.2454
Rh3 0.5256 0.5256 0.7546
Rh4 0.8483 0.8483 0.1569



no.,energy of formation (eV per atom)
1,-0.67
2,-0.48